Entry 1:
A relaxed ReSiO2F crystal. Source: the Alexandria database, functional PBE.

## Properties
**Mass density**: 6.8 g/cm3
**Electronic total energy**: -6.28 eV per atom
**Fermi-level density of states**: 1.28 states/eV/f.u.

Unit cell a=3.3926 b=3.3926 c=5.6003 alpha=90.00 beta=90.00 gamma=90.00
Last column: nearest neighbours and their distance in Å.
Atoms (fractional coordinates):
Re  0.5000  0.5000  0.5000  4 F 2.40
Si  0.0000  0.0000  0.0000  4 O 1.70
O  0.0000  0.5000  0.0000  2 Si 1.70
O  0.5000  0.0000  0.0000  2 Si 1.70
F  0.0000  0.0000  0.5000  4 Re 2.40

***

Entry 2:
A relaxed BaRe2Br crystal. Source: the Alexandria database, functional PBE.

## Properties
**Mass density**: 9.0 g/cm3
**Electronic total energy**: -5.99 eV per atom
**Fermi-level density of states**: 4.86 states/eV/f.u.
**Relative energy among the computed polymorphs**: 857 meV/atom

Unit cell a=4.9849 b=4.9849 c=9.4607 alpha=74.72 beta=74.72 gamma=90.00
Last column: nearest neighbours and their distance in Å.
Atoms (fractional coordinates):
Re  0.3881  0.1250  0.2500  2 Re 2.50, 2 Br 2.52
Re  0.3619  0.6250  0.2500  2 Re 2.50, 2 Br 2.52
Re  0.3750  0.6119  0.7500  2 Re 2.50, 2 Br 2.52
Re  0.8750  0.6381  0.7500  2 Re 2.50, 2 Br 2.52
Ba  0.0000  0.0000  0.0000  8 Re 3.50-3.59, 4 Br 3.52
Ba  0.7500  0.2500  0.5000  8 Re 3.50-3.59, 4 Br 3.52
Br  0.5000  0.5000  0.0000  4 Re 2.52
Br  0.2500  0.7500  0.5000  4 Re 2.52